A relaxed CdTeBr crystal. Source: Alexandria, functional GGA-PBEsol.

abc: 4.974 4.974 4.974
angles: 60.00 60.00 60.00
Positions (direct):
Cd: 0.250 0.250 0.250
Te: 0.000 0.000 0.000
Br: 0.500 0.500 0.500

## Properties
total energy: -2.23 eV per atom
excess energy over the best structure of this formula in the dataset: 0.62 eV per formula unit
formation energy from raw total energies: -0.032 eV per atom